# TlRe2Au

A relaxed TlRe2Au crystal (GGA-PBE, the Alexandria database).

Calculated values
Energy above the most stable polymorph in this dataset in meV/atom: 403
Magnetization in μB per formula unit: 0.0
Energy relative to the elements in eV per atom: 0.807

abc: 6.228 6.228 6.228
angles: 153.90 134.68 53.05
Positions (direct):
Tl (0.000, 0.000, 0.000)
Re (0.251, 0.751, 0.500)
Re (0.439, 0.439, 0.000)
Au (0.700, 0.200, 0.500)


# SrLiSn

A relaxed SrLiSn crystal (GGA-PBE, the Alexandria database).

Calculated values
Magnetization in μB per formula unit: 0.0
Energy relative to the elements in eV per atom: -0.394

abc: 6.319 6.319 9.322
angles: 90.00 90.00 114.93
Positions (direct):
Sr (0.155, 0.845, 0.926)
Sr (0.345, 0.655, 0.426)
Sr (0.655, 0.345, 0.574)
Sr (0.845, 0.155, 0.074)
Li (0.071, 0.929, 0.605)
Li (0.429, 0.571, 0.105)
Li (0.571, 0.429, 0.895)
Li (0.929, 0.071, 0.395)
Sn (0.142, 0.358, 0.750)
Sn (0.358, 0.142, 0.250)
Sn (0.642, 0.858, 0.750)
Sn (0.858, 0.642, 0.250)


# LiMg2Hg6

A relaxed LiMg2Hg6 crystal (GGA-PBE, the Alexandria database).

Calculated values
Energy above the most stable polymorph in this dataset in meV/atom: 28
Magnetization in μB per formula unit: 0.0
Energy relative to the elements in eV per atom: -0.110

abc: 11.035 11.035 11.035
angles: 155.95 155.95 34.28
Positions (direct):
Li (0.000, 0.000, 0.000)
Mg (0.338, 0.338, 0.000)
Mg (0.662, 0.662, 0.000)
Hg (0.076, 0.576, 0.500)
Hg (0.250, 0.750, 0.500)
Hg (0.424, 0.924, 0.500)
Hg (0.576, 0.076, 0.500)
Hg (0.750, 0.250, 0.500)
Hg (0.924, 0.424, 0.500)


# Ni4C23

A relaxed Ni4C23 crystal (GGA-PBE, the Alexandria database).

Calculated values
Magnetization in μB per formula unit: 0.3
Energy relative to the elements in eV per atom: 1.071

abc: 6.930 6.930 6.930
angles: 90.00 90.00 90.00
Positions (direct):
Ni (0.000, 0.000, 0.000)
Ni (0.000, 0.250, 0.500)
Ni (0.000, 0.750, 0.500)
Ni (0.250, 0.500, 0.000)
Ni (0.500, 0.000, 0.250)
Ni (0.500, 0.000, 0.750)
Ni (0.500, 0.500, 0.500)
Ni (0.750, 0.500, 0.000)
C (0.000, 0.306, 0.122)
C (0.000, 0.306, 0.878)
C (0.000, 0.500, 0.250)
C (0.000, 0.500, 0.750)
C (0.000, 0.694, 0.122)
C (0.000, 0.694, 0.878)
C (0.122, 0.000, 0.306)
C (0.122, 0.000, 0.694)
C (0.185, 0.185, 0.185)
C (0.185, 0.185, 0.815)
C (0.185, 0.815, 0.185)
C (0.185, 0.815, 0.815)
C (0.194, 0.500, 0.378)
C (0.194, 0.500, 0.622)
C (0.250, 0.000, 0.500)
C (0.306, 0.122, 0.000)
C (0.306, 0.878, 0.000)
C (0.315, 0.315, 0.315)
C (0.315, 0.315, 0.685)
C (0.315, 0.685, 0.315)
C (0.315, 0.685, 0.685)
C (0.378, 0.194, 0.500)
C (0.378, 0.806, 0.500)
C (0.500, 0.250, 0.000)
C (0.500, 0.378, 0.194)
C (0.500, 0.378, 0.806)
C (0.500, 0.622, 0.194)
C (0.500, 0.622, 0.806)
C (0.500, 0.750, 0.000)
C (0.622, 0.194, 0.500)
C (0.622, 0.806, 0.500)
C (0.685, 0.315, 0.315)
C (0.685, 0.315, 0.685)
C (0.685, 0.685, 0.315)
C (0.685, 0.685, 0.685)
C (0.694, 0.122, 0.000)
C (0.694, 0.878, 0.000)
C (0.750, 0.000, 0.500)
C (0.806, 0.500, 0.378)
C (0.806, 0.500, 0.622)
C (0.815, 0.185, 0.185)
C (0.815, 0.185, 0.815)
C (0.815, 0.815, 0.185)
C (0.815, 0.815, 0.815)
C (0.878, 0.000, 0.306)
C (0.878, 0.000, 0.694)


# Si2HgSe

A relaxed Si2HgSe crystal (GGA-PBE, the Alexandria database).

Calculated values
Energy above the most stable polymorph in this dataset in meV/atom: 488
Magnetization in μB per formula unit: 0.0

abc: 4.830 4.830 4.830
angles: 60.00 60.00 60.00
Positions (direct):
Si (0.250, 0.250, 0.250)
Si (0.750, 0.750, 0.750)
Hg (0.000, 0.000, 0.000)
Se (0.500, 0.500, 0.500)


# AlPbW2

A relaxed AlPbW2 crystal (GGA-PBE, the Alexandria database).

Calculated values
Energy above the most stable polymorph in this dataset in meV/atom: 540
Magnetization in μB per formula unit: 0.0
Energy relative to the elements in eV per atom: 0.923

abc: 5.254 5.254 2.884
angles: 90.00 90.00 114.96
Positions (direct):
Al (0.000, 0.000, 0.000)
Pb (0.500, 0.500, 0.000)
W (0.000, 0.500, 0.500)
W (0.500, 0.000, 0.500)


# LiMg2Al2Pd5

A relaxed LiMg2Al2Pd5 crystal (GGA-PBE, the Alexandria database).

Calculated values
Magnetization in μB per formula unit: 0.0
Energy relative to the elements in eV per atom: -0.627

abc: 9.709 9.709 3.414
angles: 90.00 90.00 90.00
Positions (direct):
Li (0.000, 0.000, 0.000)
Li (0.500, 0.500, 0.000)
Mg (0.170, 0.330, 0.000)
Mg (0.330, 0.830, 0.000)
Mg (0.670, 0.170, 0.000)
Mg (0.830, 0.670, 0.000)
Al (0.132, 0.632, 0.000)
Al (0.368, 0.132, 0.000)
Al (0.632, 0.868, 0.000)
Al (0.868, 0.368, 0.000)
Pd (0.000, 0.500, 0.500)
Pd (0.075, 0.804, 0.500)
Pd (0.196, 0.075, 0.500)
Pd (0.304, 0.575, 0.500)
Pd (0.425, 0.304, 0.500)
Pd (0.500, 0.000, 0.500)
Pd (0.575, 0.696, 0.500)
Pd (0.696, 0.425, 0.500)
Pd (0.804, 0.925, 0.500)
Pd (0.925, 0.196, 0.500)


# RbZnAgCl4

A relaxed RbZnAgCl4 crystal (GGA-PBE, the Alexandria database).

Calculated values
Calculated total energy in eV/f.u.: -20.8
Magnetization in μB per formula unit: 0.0

abc: 6.528 7.350 8.879
angles: 90.00 105.60 90.00
Positions (direct):
Rb (0.246, 0.250, 0.435)
Rb (0.754, 0.750, 0.565)
Zn (0.275, 0.750, 0.185)
Zn (0.725, 0.250, 0.815)
Ag (0.339, 0.250, 0.980)
Ag (0.661, 0.750, 0.020)
Cl (0.024, 0.750, 0.954)
Cl (0.164, 0.750, 0.406)
Cl (0.482, 0.011, 0.789)
Cl (0.482, 0.489, 0.789)
Cl (0.518, 0.511, 0.211)
Cl (0.518, 0.989, 0.211)
Cl (0.836, 0.250, 0.594)
Cl (0.976, 0.250, 0.046)


# W5Br

A relaxed W5Br crystal (GGA-PBE, the Alexandria database).

Calculated values
Energy above the most stable polymorph in this dataset in meV/atom: 657
Magnetization in μB per formula unit: 0.0

abc: 5.273 5.273 4.721
angles: 90.00 90.00 120.00
Positions (direct):
W (0.000, 0.500, 0.000)
W (0.333, 0.667, 0.500)
W (0.500, 0.000, 0.000)
W (0.500, 0.500, 0.000)
W (0.667, 0.333, 0.500)
Br (0.000, 0.000, 0.500)


# YTl3Zn

A relaxed YTl3Zn crystal (GGA-PBE, the Alexandria database).

Calculated values
Energy above the most stable polymorph in this dataset in meV/atom: 391
Magnetization in μB per formula unit: 0.0
Energy relative to the elements in eV per atom: 0.608

abc: 6.025 6.025 6.025
angles: 90.00 90.00 90.00
Positions (direct):
Y (0.000, 0.000, 0.000)
Tl (0.000, 0.000, 0.500)
Tl (0.000, 0.500, 0.000)
Tl (0.500, 0.000, 0.000)
Zn (0.500, 0.500, 0.500)


# ScPa2Cr2C4

A relaxed ScPa2Cr2C4 crystal (GGA-PBE, the Alexandria database).

Calculated values
Magnetization in μB per formula unit: 0.0
Energy relative to the elements in eV per atom: -0.261

abc: 6.655 6.655 5.830
angles: 105.42 105.42 27.79
Positions (direct):
Sc (0.000, 0.000, 0.000)
Pa (0.127, 0.127, 0.535)
Pa (0.873, 0.873, 0.465)
Cr (0.319, 0.319, 0.990)
Cr (0.681, 0.681, 0.010)
C (0.229, 0.229, 0.225)
C (0.458, 0.458, 0.247)
C (0.542, 0.542, 0.753)
C (0.771, 0.771, 0.775)


# Zn4CuAu2

A relaxed Zn4CuAu2 crystal (GGA-PBE, the Alexandria database).

Calculated values
Energy above the most stable polymorph in this dataset in meV/atom: 61
Magnetization in μB per formula unit: 0.0
Energy relative to the elements in eV per atom: -0.088

abc: 6.868 6.868 6.592
angles: 116.61 116.61 23.61
Positions (direct):
Zn (0.088, 0.088, 0.224)
Zn (0.395, 0.395, 0.129)
Zn (0.605, 0.605, 0.871)
Zn (0.912, 0.912, 0.776)
Cu (0.000, 0.000, 0.500)
Au (0.224, 0.224, 0.695)
Au (0.776, 0.776, 0.305)


# TlNi2P

A relaxed TlNi2P crystal (GGA-PBE, the Alexandria database).

Calculated values
Magnetization in μB per formula unit: 0.0
Energy relative to the elements in eV per atom: 0.321

abc: 4.285 4.285 3.206
angles: 90.00 90.00 90.00
Positions (direct):
Tl (0.000, 0.000, 0.000)
Ni (0.000, 0.500, 0.500)
Ni (0.500, 0.000, 0.500)
P (0.500, 0.500, 0.000)


# Be2AlGaAg

A relaxed Be2AlGaAg crystal (GGA-PBE, the Alexandria database).

Calculated values
Energy above the most stable polymorph in this dataset in meV/atom: 0
Magnetization in μB per formula unit: 0.0
Energy relative to the elements in eV per atom: 0.714

abc: 4.416 4.416 4.790
angles: 90.00 90.00 90.00
Positions (direct):
Be (0.000, 0.500, 0.000)
Be (0.500, 0.000, 0.000)
Al (0.000, 0.000, 0.500)
Ga (0.500, 0.500, 0.500)
Ag (0.000, 0.000, 0.000)


# Ru3Se

A relaxed Ru3Se crystal (GGA-PBE, the Alexandria database).

Calculated values
Calculated total energy in eV/f.u.: -30.1
Magnetization in μB per formula unit: 0.0

abc: 2.878 2.878 7.012
angles: 90.00 90.00 90.00
Positions (direct):
Ru (0.000, 0.000, 0.000)
Ru (0.500, 0.500, 0.256)
Ru (0.500, 0.500, 0.744)
Se (0.000, 0.000, 0.500)